This record from the Alexandria database describes crystalline NaMg6Sn6 at its relaxed geometry. The functional is GGA-PBE.

Structure (CIF):
```
data_NaMg6Sn6
_space_group_name_H-M_alt 'P 1'
_space_group_IT_number 1
_cell_length_a 7.9030
_cell_length_b 7.9030
_cell_length_c 7.9030
_cell_angle_alpha 134.20
_cell_angle_beta 103.52
_cell_angle_gamma 93.95
loop_
_space_group_symop_operation_xyz
'x,y,z'
loop_
_atom_site_label
_atom_site_type_symbol
_atom_site_fract_x
_atom_site_fract_y
_atom_site_fract_z
Na1 Na 0.0000 0.0000 0.0000
Mg1 Mg 0.0000 0.0000 0.5000
Mg2 Mg 0.0000 0.5000 0.0000
Mg3 Mg 0.2754 0.5000 0.7754
Mg4 Mg 0.5000 0.0000 0.0000
Mg5 Mg 0.5000 0.5000 0.5000
Mg6 Mg 0.7246 0.5000 0.2246
Sn1 Sn 0.1510 0.6510 0.5000
Sn2 Sn 0.3049 0.3049 0.0000
Sn3 Sn 0.3460 0.0000 0.3460
Sn4 Sn 0.6540 0.0000 0.6540
Sn5 Sn 0.6951 0.6951 0.0000
Sn6 Sn 0.8490 0.3490 0.5000
```

Results
N(E_F) in states/eV/atom: 0.524
Final energy in eV per atom: -2.7919
Total magnetic moment in Bohr magnetons per cell: 0.000